# 1
Ac8Sb4Te3S | PBE | relaxed

```
Ac8Sb4Te3S
1.0
-7.8073 -4.8956 -2.2406
4.8604 -4.7821 -6.4871
3.0112 0.2697 8.9888
Ac Sb Te S
8 4 3 1
Direct
0.2443 0.7498 0.0055
0.2445 0.7500 0.4891
0.2474 0.2421 0.4948
0.7611 0.7498 0.0055
0.2389 0.2502 0.9945
0.7526 0.7579 0.5052
0.7555 0.2500 0.5109
0.7557 0.2502 0.9945
0.5000 0.0000 0.0000
0.5000 0.0000 0.5000
0.0000 0.0000 0.0000
0.0000 0.0000 0.5000
0.5000 0.5000 0.0000
0.5000 0.5000 0.5000
0.0000 0.5000 0.5000
0.0000 0.5000 0.0000
```

Values from the calculation:
DOS at the Fermi energy = 7.0 states/eV/cell
ΔE_f (raw) = -1.43 eV per atom
uncorrected energy = -85.77 eV/cell
symmetry = R-3m, No. 166

=====

# 2
Ac6Sb2TeS3 | PBE | relaxed

```
Ac6Sb2TeS3
1.0
-2.1356 -3.4062 2.1092
2.9343 -5.7951 -6.3877
8.2433 1.4368 5.7809
Ac Sb Te S
6 2 1 3
Direct
0.3262 0.9275 0.6524
0.6625 0.5949 0.3250
0.6738 0.0725 0.3476
0.9944 0.2696 0.9888
0.0056 0.7304 0.0112
0.3375 0.4051 0.6750
0.8348 0.6692 0.6696
0.1652 0.3308 0.3304
0.5000 0.0000 0.0000
0.5000 0.5000 0.0000
0.8333 0.1653 0.6667
0.1667 0.8347 0.3333
```

Values from the calculation:
DOS at the Fermi energy = 5.9 states/eV/cell
ΔE_f (raw) = -1.64 eV per atom
uncorrected energy = -68.14 eV/cell
symmetry = C2/m, No. 12

=====

# 3
Ac6SbTe3S2 | PBE | relaxed

```
Ac6SbTe3S2
1.0
7.8947 0.0025 -0.0010
-3.9433 6.8394 -0.0010
-1.3190 -2.2839 7.6980
Ac Sb Te S
6 1 3 2
Direct
0.9250 0.5769 0.7763
0.7244 0.7244 0.2197
0.0750 0.4231 0.2237
0.5769 0.9250 0.7763
0.2756 0.2756 0.7803
0.4231 0.0750 0.2237
0.0000 0.0000 0.0000
0.1608 0.8392 0.5000
0.8392 0.1608 0.5000
0.5000 0.5000 0.5000
0.3322 0.6678 0.0000
0.6678 0.3322 0.0000
```

Values from the calculation:
DOS at the Fermi energy = 5.7 states/eV/cell
ΔE_f (raw) = -1.61 eV per atom
uncorrected energy = -65.78 eV/cell
symmetry = C2/m, No. 12

=====

# 4
Ac2TlSbS6 | PBE | relaxed

```
Ac2TlSbS6
1.0
6.9254 0.0000 0.0290
0.0000 7.6599 0.0000
0.1036 0.0000 9.9746
Ac Tl Sb S
4 2 2 12
Direct
0.0387 0.9018 0.2519
0.5387 0.5982 0.7519
0.9613 0.0982 0.7481
0.4613 0.4018 0.2481
0.5000 0.0000 0.0000
0.0000 0.5000 0.5000
0.5000 0.0000 0.5000
0.0000 0.5000 0.0000
0.3183 0.6808 0.0608
0.8183 0.8192 0.5608
0.6817 0.3192 0.9392
0.1817 0.1808 0.4392
0.3248 0.6899 0.4368
0.8248 0.8101 0.9368
0.6752 0.3101 0.5632
0.1752 0.1899 0.0632
0.8669 0.5424 0.2509
0.3669 0.9576 0.7509
0.1331 0.4576 0.7491
0.6331 0.0424 0.2491
```

Values from the calculation:
DOS at the Fermi energy = 3.4 states/eV/cell
ΔE_f (raw) = -1.15 eV per atom
uncorrected energy = -101.87 eV/cell
symmetry = P2_1/c, No. 14

=====

# 5
Ac3Tl3SbS8 | PBE | relaxed

```
Ac3Tl3SbS8
1.0
8.6311 -0.0006 0.0000
-4.3161 7.4751 -0.0249
0.0004 -4.9578 7.5844
Ac Tl Sb S
3 3 1 8
Direct
0.5000 0.0000 0.5000
0.5000 0.5000 0.5000
0.0000 0.5000 0.5000
0.0000 0.0000 0.0000
0.0000 0.5000 0.0000
0.5000 0.5000 0.0000
0.0000 0.0000 0.5000
0.2628 0.5257 0.2885
0.7372 0.4743 0.7115
0.7847 0.5694 0.3046
0.2153 0.4306 0.6954
0.7847 0.0200 0.3047
0.2153 0.9800 0.6953
0.2353 0.0200 0.3047
0.7647 0.9800 0.6953
```

Values from the calculation:
DOS at the Fermi energy = 2.7 states/eV/cell
ΔE_f (raw) = -1.19 eV per atom
uncorrected energy = -74.46 eV/cell
symmetry = R-3m, No. 166

=====

# 6
AcYSbS | PBE | relaxed

```
AcYSbS
1.0
-0.7088 -3.9864 -2.9717
4.2509 -2.0429 1.7266
-5.2747 -4.6454 7.4898
Ac Y Sb S
2 2 2 2
Direct
0.0000 0.5000 0.8550
0.5000 0.0000 0.1450
0.0000 0.0000 0.5000
0.5000 0.5000 0.5000
0.5000 0.0000 0.6758
0.0000 0.5000 0.3242
0.5000 0.5000 0.0000
0.0000 0.0000 0.0000
```

Values from the calculation:
DOS at the Fermi energy = 4.1 states/eV/cell
ΔE_f (raw) = -1.35 eV per atom
uncorrected energy = -48.47 eV/cell
symmetry = P4/nmm, No. 129

=====

# 7
AcZnSbS | PBE | relaxed

```
AcZnSbS
1.0
4.8402 0.0000 0.0000
0.0000 4.8402 0.0000
0.0000 0.0000 9.2676
Ac Zn Sb S
2 2 2 2
Direct
0.5000 0.0000 0.6729
0.0000 0.5000 0.3271
0.5000 0.5000 0.0000
0.0000 0.0000 0.0000
0.0000 0.5000 0.8466
0.5000 0.0000 0.1534
0.0000 0.0000 0.5000
0.5000 0.5000 0.5000
```

Values from the calculation:
DOS at the Fermi energy = 1.2 states/eV/cell
ΔE_f (raw) = -1.07 eV per atom
uncorrected energy = -35.79 eV/cell
symmetry = P4/nmm, No. 129

=====

# 8
AcSc3S6 | PBE | relaxed

```
AcSc3S6
1.0
-2.0569 -1.5843 2.9292
9.6618 -2.8052 5.2676
-3.5857 10.0056 2.8937
Ac Sc S
2 6 12
Direct
0.7500 0.6474 0.8997
0.2500 0.3526 0.1003
0.7500 0.3519 0.4827
0.2500 0.6481 0.5173
0.7500 0.7334 0.2822
0.2500 0.2666 0.7178
0.7500 0.9707 0.8370
0.2500 0.0293 0.1630
0.7500 0.1830 0.5658
0.2500 0.8170 0.4342
0.7500 0.1391 0.0695
0.2500 0.8609 0.9305
0.7500 0.7401 0.6671
0.2500 0.2599 0.3329
0.7500 0.5204 0.3432
0.2500 0.4796 0.6568
0.7500 0.3743 0.8965
0.2500 0.6257 0.1035
0.7500 0.9217 0.2186
0.2500 0.0783 0.7814
```

Values from the calculation:
ΔE_f (raw) = -1.92 eV per atom
uncorrected energy = -134.10 eV/cell
symmetry = P2_1/m, No. 11

=====

Record order is preserved below.
Magnetization: 0.000; 0.000; 0.000; 0.000; 0.000; 0.839; 0.000; 0.000 Bohr magnetons per cell